# Ba2YErO5 PBE optimized geometry
data_Ba2YErO5
_chemical_formula_sum 'Ba4 Y2 Er2 O10'
_cell_length_a 3.690
_cell_length_b 7.417
_cell_length_c 12.354
_cell_angle_alpha 90.00
_cell_angle_beta 90.00
_cell_angle_gamma 104.40
_symmetry_space_group_name_H-M 'P 1'
_symmetry_Int_Tables_number 1
_symmetry_space_group_name_Hall 'P 1'
loop_
_atom_site_label
_atom_site_fract_x
_atom_site_fract_y
_atom_site_fract_z
Y1 0.224 0.447 0.023
Y2 0.776 0.553 0.523
Er1 0.532 0.063 0.952
Ba1 0.151 0.303 0.295
O1 0.939 0.879 0.535
O2 0.621 0.242 0.500
O3 0.492 0.983 0.785
O4 0.691 0.381 0.913
O5 0.730 0.459 0.148
Ba2 0.910 0.820 0.174
O6 0.379 0.758 0.000
O7 0.270 0.541 0.648
O8 0.508 0.017 0.285
Ba3 0.849 0.697 0.795
Ba4 0.090 0.180 0.674
Er2 0.468 0.937 0.452
O9 0.061 0.121 0.035
O10 0.309 0.619 0.413
# Raw formation energy   -3057 meV/atom
# M_tot   0.0 μB per formula unit